Entry 1:
Material: Ba2InPt
Method: DFT, PBE
State: optimized geometry

calculated density = 7.28 Mg/m³
E_tot = -3.572 eV per atom
symmetry = Cmmm
energy relative to the elements = -0.415 eV per atom
total moment = 0.000 μB per atom

a b c (Å): 5.677 5.677 4.137
angles (deg): 89.97 89.97 90.06
Sites, in units of the cell vectors:
In 0.500 0.000 0.500
Ba 0.500 0.500 0.000
Ba 0.000 0.000 0.000
Pt 0.000 0.500 0.500

***

Entry 2:
Material: Ba3InPt3
Method: DFT, PBE
State: optimized geometry

calculated density = 7.30 Mg/m³
E_tot = -4.402 eV per atom
symmetry = P6_3/m
energy relative to the elements = -0.598 eV per atom
total moment = 0.000 μB per atom

a b c (Å): 6.375 9.570 9.570
angles (deg): 120.00 90.00 90.00
Sites, in units of the cell vectors:
Ba 0.750 0.942 0.301
Ba 0.250 0.301 0.359
Ba 0.250 0.641 0.942
Ba 0.750 0.699 0.641
Ba 0.250 0.058 0.699
Ba 0.750 0.359 0.058
In 0.750 0.333 0.667
In 0.250 0.667 0.333
Pt 0.250 0.936 0.316
Pt 0.750 0.621 0.936
Pt 0.750 0.316 0.379
Pt 0.250 0.379 0.064
Pt 0.250 0.684 0.621
Pt 0.750 0.064 0.684

***

Entry 3:
Material: Ba2InPt
Method: DFT, PBE
State: optimized geometry

calculated density = 6.88 Mg/m³
E_tot = -3.524 eV per atom
symmetry = P4mm
energy relative to the elements = -0.367 eV per atom
total moment = 0.000 μB per atom

a b c (Å): 3.833 3.833 9.609
angles (deg): 90.00 90.00 90.00
Sites, in units of the cell vectors:
Ba 0.500 0.500 0.330
Ba 0.000 0.000 0.910
Pt 0.500 0.500 0.689
In 0.000 0.000 0.572

***

Entry 4:
Material: BaIn9Pt2
Method: DFT, PBE
State: optimized geometry

calculated density = 8.62 Mg/m³
E_tot = -3.486 eV per atom
symmetry = I4_1/amd
energy relative to the elements = -0.265 eV per atom
total moment = 0.000 μB per atom

a b c (Å): 8.509 9.422 9.422
angles (deg): 78.23 63.16 63.16
Sites, in units of the cell vectors:
In 0.002 0.927 0.682
In 0.000 0.000 0.000
In 0.138 0.182 0.427
In 0.612 0.318 0.073
In 0.316 0.073 0.682
In 0.316 0.682 0.073
In 0.679 0.182 0.573
In 0.434 0.818 0.427
In 0.612 0.073 0.318
In 0.750 0.500 0.500
In 0.002 0.682 0.927
In 0.748 0.818 0.573
In 0.434 0.427 0.818
In 0.679 0.573 0.182
In 0.071 0.318 0.927
In 0.071 0.927 0.318
In 0.138 0.427 0.182
In 0.748 0.573 0.818
Pt 0.375 0.750 0.750
Pt 0.875 0.250 0.250
Pt 0.875 0.750 0.250
Pt 0.875 0.250 0.750
Ba 0.250 0.500 0.500
Ba 0.500 0.000 0.000

***

Entry 5:
Material: Ba2InPt3
Method: DFT, PBE
State: optimized geometry

calculated density = 9.45 Mg/m³
E_tot = -4.587 eV per atom
symmetry = Immm
energy relative to the elements = -0.470 eV per atom
total moment = 0.000 μB per atom

a b c (Å): 4.675 6.001 7.192
angles (deg): 114.66 108.97 90.00
Sites, in units of the cell vectors:
Pt 0.616 0.616 0.232
Pt 0.000 0.000 0.000
Pt 0.384 0.384 0.768
Ba 0.676 0.176 0.352
Ba 0.324 0.824 0.648
In 0.000 0.500 0.000

***

Entry 6:
Material: BaInPt
Method: DFT, PBE
State: optimized geometry

calculated density = 9.06 Mg/m³
E_tot = -4.073 eV per atom
symmetry = I4mm
energy relative to the elements = -0.506 eV per atom
total moment = 0.000 μB per atom

a b c (Å): 3.680 3.680 6.591
angles (deg): 106.16 106.21 90.00
Sites, in units of the cell vectors:
Pt 0.303 0.303 0.606
Ba 0.989 0.989 0.978
In 0.708 0.708 0.416

***

Entry 7:
Material: Ba2InPt
Method: DFT, PBE
State: optimized geometry

calculated density = 5.62 Mg/m³
E_tot = -3.419 eV per atom
symmetry = P4mm
energy relative to the elements = -0.263 eV per atom
total moment = 0.000 μB per atom

a b c (Å): 4.462 4.462 8.669
angles (deg): 90.00 90.00 90.00
Sites, in units of the cell vectors:
Ba 0.000 0.000 0.871
Ba 0.500 0.500 0.262
In 0.000 0.000 0.452
Pt 0.500 0.500 0.914

***

Entry 8:
Material: Ba2In2Pt
Method: DFT, PBE
State: optimized geometry

calculated density = 6.95 Mg/m³
E_tot = -3.641 eV per atom
symmetry = C2/m
energy relative to the elements = -0.569 eV per atom
total moment = 0.000 μB per atom

a b c (Å): 4.444 6.876 11.841
angles (deg): 92.68 79.18 71.15
Sites, in units of the cell vectors:
Ba 0.654 0.351 0.341
Ba 0.346 0.649 0.659
Ba 0.069 0.737 0.126
Ba 0.931 0.263 0.874
Pt 0.641 0.041 0.677
Pt 0.359 0.959 0.323
In 0.364 0.159 0.114
In 0.636 0.841 0.886
In 0.136 0.171 0.558
In 0.864 0.829 0.442